Computed, not measured: a relaxed ZnWO2 crystal at the PBE+U level of DFT.

The value obtained for the uncorrected energy is -0.205 Ha/atom. The value obtained for the mass density is 9.5 Mg/m³.

Unit cell a=6.369 b=6.369 c=6.369 alpha=27.69 beta=27.69 gamma=27.69
Element x y z (fractional)
Zn: 0.500 0.500 0.500
O: 0.895 0.895 0.895
W: 0.000 0.000 0.000
O: 0.105 0.105 0.105